No. 1
VASP calculation (GGA-PBE) on NaLiHo2Se4 after structural relaxation.

Lattice parameters (Å, degrees): 4.0965 7.0953 7.1637 109.33 90.00 90.00
Element x y z (fractional)
Se (0.0000, 0.7574, 0.2626)
Se (0.5000, 0.7507, 0.7410)
Se (0.5000, 0.2493, 0.2590)
Na (0.5000, 0.5000, 0.0000)
Ho (0.0000, 0.5000, 0.5000)
Se (0.0000, 0.2426, 0.7374)
Li (0.0000, 0.0000, 0.0000)
Ho (0.5000, 0.0000, 0.5000)

spin magnetization = 0.000 μB/atom
electronic total energy = -4.983 eV/atom
energy relative to the elements, uncorrected = -1.6918 eV per atom
SG = P2/m (10)
density of states at the Fermi level = 0.000 states/eV per atom
V = 24.56 Å³ per atom

***

No. 2
VASP calculation (GGA-PBE) on CsInHgSb2 after structural relaxation.

Lattice parameters (Å, degrees): 7.1797 8.6446 7.1635 114.28 90.00 90.00
Element x y z (fractional)
Hg (0.0000, 0.0000, 0.0000)
Sb (0.7118, 0.2250, 0.6116)
In (0.5001, 0.0000, 0.7500)
Cs (0.2366, 0.5000, 0.7500)
Sb (0.7118, 0.7750, 0.8884)
Sb (0.2882, 0.2250, 0.1116)
Sb (0.2882, 0.7750, 0.3884)
In (0.4999, 0.0000, 0.2500)
Cs (0.7634, 0.5000, 0.2500)
Hg (0.0000, 0.0000, 0.5000)

spin magnetization = 0.000 μB/atom
electronic total energy = -2.693 eV/atom
energy relative to the elements, uncorrected = -0.2657 eV per atom
SG = P2/c (13)
density of states at the Fermi level = 0.009 states/eV per atom
V = 40.53 Å³ per atom

***

No. 3
VASP calculation (GGA-PBE) on ZrIrCl after structural relaxation.

Lattice parameters (Å, degrees): 4.4259 4.4259 3.1420 90.00 90.00 120.00
Element x y z (fractional)
Ir (0.3333, 0.6667, 0.3353)
Zr (0.6667, 0.3333, 0.8346)
Cl (0.0000, 0.0000, 0.8301)

spin magnetization = 0.000 μB/atom
electronic total energy = -6.792 eV/atom
energy relative to the elements, uncorrected = -0.3735 eV per atom
SG = P3m1 (156)
density of states at the Fermi level = 0.342 states/eV per atom
V = 17.77 Å³ per atom